[1]
The following is a PBE calculation of LaCePO2 after structural relaxation, from the Alexandria database.

Cell: 3.8766 3.8766 6.7990 Å, 106.56 106.56 90.00°
Each line ends with the local moment (μB).
Atoms (fractional coordinates):
La1 0.1437 0.1437 0.2873  0.00
Ce1 0.8522 0.8522 0.7043  0.24
P1 0.4925 0.4925 0.9851  -0.03
O1 0.7558 0.2558 0.5116  -0.01
O2 0.2558 0.7558 0.5116  -0.01

***

[2]
The following is a PBE calculation of Sr2LiSi2 after structural relaxation, from the Alexandria database.

Cell: 4.6843 6.0565 10.1592 Å, 84.03 76.67 67.25°
Atoms (fractional coordinates):
Sr1 0.3059 0.2809 0.1073
Sr2 0.5221 0.2872 0.6685
Sr3 0.6941 0.7191 0.8927
Sr4 0.4779 0.7128 0.3315
Li1 0.7698 0.0956 0.3647
Li2 0.2302 0.9044 0.6353
Si1 0.9912 0.1217 0.8959
Si2 0.1221 0.3178 0.4381
Si3 0.0088 0.8783 0.1041
Si4 0.8779 0.6822 0.5619

***

Number 1: formation energy from raw total energies -2.68 eV per atom. Number 2: formation energy from raw total energies -0.37 eV per atom.